1.
Material: KC3
Method: DFT, PBE
State: optimized geometry

Geometry as CIF:
```
data_KC3
_symmetry_space_group_name_H-M 'P 1'
_symmetry_Int_Tables_number 1
_symmetry_space_group_name_Hall 'P 1'
_cell_length_a 4.951
_cell_length_b 4.951
_cell_length_c 2.369
_cell_angle_alpha 90.00
_cell_angle_beta 90.00
_cell_angle_gamma 119.29
loop_
_atom_site_label
_atom_site_type_symbol
_atom_site_fract_x
_atom_site_fract_y
_atom_site_fract_z
K1 K 0.000 0.000 0.000
C1 C 0.000 0.500 0.500
C2 C 0.500 0.000 0.500
C3 C 0.500 0.500 0.000
```

Summary:
ΔH_f (0 K), eV/atom: 3.97
Raw total energy, Ry per atom: -0.2365
Theoretical density, g/cm³: 2.46
E above lowest polymorph, meV per atom: 3403.5
Calculated volume, Å³/cell: 51
Magnetic moment, μB per formula unit: 0.00

=====

2.
Material: AgPSe4
Method: DFT, PBE
State: optimized geometry

Geometry as CIF:
```
data_AgPSe4
_symmetry_space_group_name_H-M 'P 1'
_symmetry_Int_Tables_number 1
_symmetry_space_group_name_Hall 'P 1'
_cell_length_a 5.661
_cell_length_b 5.661
_cell_length_c 5.661
_cell_angle_alpha 60.00
_cell_angle_beta 60.00
_cell_angle_gamma 60.00
loop_
_atom_site_label
_atom_site_type_symbol
_atom_site_fract_x
_atom_site_fract_y
_atom_site_fract_z
Ag1 Ag 0.750 0.750 0.750
P1 P 0.000 0.000 0.000
Se1 Se 0.878 0.374 0.374
Se2 Se 0.374 0.374 0.878
Se3 Se 0.374 0.878 0.374
Se4 Se 0.374 0.374 0.374
```

Summary:
Raw total energy, Ry per atom: -0.2102
Theoretical density, g/cm³: 5.89
Calculated volume, Å³/cell: 128
Formation energy (no corrections), eV/atom: 0.84
Magnetic moment, μB per formula unit: 0.00

=====

3.
Material: NaSrPmTl
Method: DFT, PBE
State: optimized geometry

Geometry as CIF:
```
data_NaSrPmTl
_symmetry_space_group_name_H-M 'P 1'
_symmetry_Int_Tables_number 1
_symmetry_space_group_name_Hall 'P 1'
_cell_length_a 5.709
_cell_length_b 5.709
_cell_length_c 5.709
_cell_angle_alpha 60.00
_cell_angle_beta 60.00
_cell_angle_gamma 60.00
loop_
_atom_site_label
_atom_site_type_symbol
_atom_site_fract_x
_atom_site_fract_y
_atom_site_fract_z
Sr1 Sr 0.000 0.000 0.000
Tl1 Tl 0.750 0.750 0.750
Na1 Na 0.250 0.250 0.250
Pm1 Pm 0.500 0.500 0.500
```

Summary:
ΔH_f (0 K), eV/atom: -0.11
Raw total energy, Ry per atom: -0.1938
Theoretical density, g/cm³: 5.80
Calculated volume, Å³/cell: 132
Magnetic moment, μB per formula unit: 0.00

=====

4.
Material: SrMgOs3
Method: DFT, PBE
State: optimized geometry

Geometry as CIF:
```
data_SrMgOs3
_symmetry_space_group_name_H-M 'P 1'
_symmetry_Int_Tables_number 1
_symmetry_space_group_name_Hall 'P 1'
_cell_length_a 4.691
_cell_length_b 4.691
_cell_length_c 4.691
_cell_angle_alpha 90.00
_cell_angle_beta 90.00
_cell_angle_gamma 90.00
loop_
_atom_site_label
_atom_site_type_symbol
_atom_site_fract_x
_atom_site_fract_y
_atom_site_fract_z
Sr1 Sr 0.500 0.500 0.500
Mg1 Mg 0.000 0.000 0.000
Os1 Os 0.000 0.500 0.000
Os2 Os 0.000 0.000 0.500
Os3 Os 0.500 0.000 0.000
```

Summary:
ΔH_f (0 K), eV/atom: 1.90
Raw total energy, Ry per atom: -0.4038
Theoretical density, g/cm³: 10.98
E above lowest polymorph, meV per atom: 0.0
Calculated volume, Å³/cell: 103
Magnetic moment, μB per formula unit: 1.70